[1]
First-principles (PBE) data for a relaxed LiHo2Fe crystal, as listed in Alexandria.

Lattice parameters (Å, degrees): 3.3196 3.3196 8.0999 90.00 90.00 90.00
Last column: nearest neighbours and their distance in Å.
Fractional positions:
Li  0.0000  0.0000  0.0000  4 Li 3.32, 8 Ho 3.39
Ho  0.5000  0.5000  0.3021  4 Fe 2.84
Ho  0.5000  0.5000  0.6979  4 Fe 2.84
Fe  0.0000  0.0000  0.5000  8 Ho 2.84

Properties
The calculation puts the mass density at 7.3 Mg/m³. The calculation puts the total energy at -4.84 eV/atom. Its space-group type is P4/mmm, No. 123. For the formation energy, the calculation gives 0.0380 eV per atom. The value obtained for the energy relative to the lowest polymorph listed for this composition is 0.000 eV per atom. The size of the total moment comes out at 0.0 Bohr magnetons per cell.

[2]
First-principles (PBE) data for a relaxed LiNdHoFe crystal, as listed in Alexandria.

Lattice parameters (Å, degrees): 4.9412 4.9412 4.9412 60.00 60.00 60.00
Last column: nearest neighbours and their distance in Å.
Fractional positions:
Li  0.0000  0.0000  0.0000  4 Nd 3.03, 4 Ho 3.03
Nd  0.7500  0.7500  0.7500  4 Fe 3.03, 4 Li 3.03
Ho  0.2500  0.2500  0.2500  4 Fe 3.03, 4 Li 3.03
Fe  0.5000  0.5000  0.5000  4 Nd 3.03, 4 Ho 3.03

Properties
The calculation puts the mass density at 7.2 Mg/m³. The calculation puts the total energy at -4.80 eV/atom. Its space-group type is F-43m, No. 216. For the formation energy, the calculation gives 0.1328 eV per atom. The size of the total moment comes out at 0.7 Bohr magnetons per cell.

[3]
First-principles (PBE) data for a relaxed LiPmHoFe crystal, as listed in Alexandria.

Lattice parameters (Å, degrees): 4.8959 4.8959 4.8959 60.00 60.00 60.00
Last column: nearest neighbours and their distance in Å.
Fractional positions:
Li  0.0000  0.0000  0.0000  4 Ho 3.00, 4 Pm 3.00
Pm  0.2500  0.2500  0.2500  4 Fe 3.00, 4 Li 3.00
Ho  0.7500  0.7500  0.7500  4 Fe 3.00, 4 Li 3.00
Fe  0.5000  0.5000  0.5000  4 Ho 3.00, 4 Pm 3.00

Properties
The calculation puts the mass density at 7.5 Mg/m³. The calculation puts the total energy at -4.80 eV/atom. Its space-group type is F-43m, No. 216. For the formation energy, the calculation gives 0.1217 eV per atom. The size of the total moment comes out at 0.0 Bohr magnetons per cell.

[4]
First-principles (PBE) data for a relaxed LiHoScFe crystal, as listed in Alexandria.

Lattice parameters (Å, degrees): 4.6831 4.6831 4.6831 60.00 60.00 60.00
Last column: nearest neighbours and their distance in Å.
Fractional positions:
Li  0.0000  0.0000  0.0000  4 Ho 2.87, 4 Sc 2.87
Ho  0.7500  0.7500  0.7500  4 Fe 2.87, 4 Li 2.87
Sc  0.2500  0.2500  0.2500  4 Fe 2.87, 4 Li 2.87
Fe  0.5000  0.5000  0.5000  4 Ho 2.87, 4 Sc 2.87

Properties
The calculation puts the mass density at 6.2 Mg/m³. The calculation puts the total energy at -5.27 eV/atom. Its space-group type is F-43m, No. 216. For the formation energy, the calculation gives 0.0479 eV per atom. The size of the total moment comes out at 0.0 Bohr magnetons per cell.

[5]
First-principles (PBE) data for a relaxed LiTbHoFe crystal, as listed in Alexandria.

Lattice parameters (Å, degrees): 4.8414 4.8414 4.8414 60.00 60.00 60.00
Last column: nearest neighbours and their distance in Å.
Fractional positions:
Li  0.0000  0.0000  0.0000  4 Tb 2.96, 4 Ho 2.96
Tb  0.7500  0.7500  0.7500  4 Fe 2.96, 4 Li 2.96
Ho  0.2500  0.2500  0.2500  4 Fe 2.96, 4 Li 2.96
Fe  0.5000  0.5000  0.5000  4 Tb 2.96, 4 Ho 2.96

Properties
The calculation puts the mass density at 8.0 Mg/m³. The calculation puts the total energy at -4.81 eV/atom. Its space-group type is F-43m, No. 216. For the formation energy, the calculation gives 0.0843 eV per atom. The size of the total moment comes out at 0.0 Bohr magnetons per cell.

[6]
First-principles (PBE) data for a relaxed LiHoTmFe crystal, as listed in Alexandria.

Lattice parameters (Å, degrees): 4.7966 4.7966 4.7966 60.00 60.00 60.00
Last column: nearest neighbours and their distance in Å.
Fractional positions:
Li  0.0000  0.0000  0.0000  4 Tm 2.94, 4 Ho 2.94
Ho  0.2500  0.2500  0.2500  4 Fe 2.94, 4 Li 2.94
Tm  0.7500  0.7500  0.7500  4 Fe 2.94, 4 Li 2.94
Fe  0.5000  0.5000  0.5000  4 Tm 2.94, 4 Ho 2.94

Properties
The calculation puts the mass density at 8.4 Mg/m³. The calculation puts the total energy at -4.80 eV/atom. Its space-group type is F-43m, No. 216. For the formation energy, the calculation gives 0.0602 eV per atom. The size of the total moment comes out at 0.0 Bohr magnetons per cell.

[7]
First-principles (PBE) data for a relaxed LiYHoFe crystal, as listed in Alexandria.

Lattice parameters (Å, degrees): 4.8442 4.8442 4.8442 60.00 60.00 60.00
Last column: nearest neighbours and their distance in Å.
Fractional positions:
Li  0.0000  0.0000  0.0000  4 Ho 2.97, 4 Y 2.97
Y  0.2500  0.2500  0.2500  4 Fe 2.97, 4 Li 2.97
Ho  0.7500  0.7500  0.7500  4 Fe 2.97, 4 Li 2.97
Fe  0.5000  0.5000  0.5000  4 Ho 2.97, 4 Y 2.97

Properties
The calculation puts the mass density at 6.5 Mg/m³. The calculation puts the total energy at -5.27 eV/atom. Its space-group type is F-43m, No. 216. For the formation energy, the calculation gives 0.0893 eV per atom. The size of the total moment comes out at 0.0 Bohr magnetons per cell.

[8]
First-principles (PBE) data for a relaxed LiHoZrFe crystal, as listed in Alexandria.

Lattice parameters (Å, degrees): 4.6819 4.6819 4.6819 60.00 60.00 60.00
Last column: nearest neighbours and their distance in Å.
Fractional positions:
Li  0.0000  0.0000  0.0000  4 Zr 2.87, 4 Ho 2.87
Ho  0.2500  0.2500  0.2500  4 Fe 2.87, 4 Li 2.87
Zr  0.7500  0.7500  0.7500  4 Li 2.87, 4 Fe 2.87
Fe  0.5000  0.5000  0.5000  4 Zr 2.87, 4 Ho 2.87

Properties
The calculation puts the mass density at 7.3 Mg/m³. The calculation puts the total energy at -5.83 eV/atom. Its space-group type is F-43m, No. 216. For the formation energy, the calculation gives 0.0475 eV per atom. The size of the total moment comes out at 0.0 Bohr magnetons per cell.